Material: Mg2Cu2Pd
Method: DFT, PBE-GGA
State: optimized geometry

Calculated values
The calculation puts the excess energy over the best structure of this formula in the dataset at 0.0 meV/atom. The value obtained for the raw total energy is -36.1 eV per cell. The formation energy is -0.29 eV/atom.

a = 7.5376 Å, b = 4.3021 Å, c = 5.3567 Å
α = 90.00°, β = 119.08°, γ = 90.00°
Last column: nearest neighbours and their distance in Å.
Space group C2/m (No. 12)
Unique sites:
Mg1 0.1017 0.0000 0.3079  3 Pd 2.65-2.66, 4 Cu 2.72-2.90, 1 Mg 2.88
Cu1 0.1904 0.5000 0.0728  3 Cu 2.58-2.59, 1 Pd 2.68, 3 Mg 2.72-2.73
Pd1 0.0000 0.5000 0.5000  6 Mg 2.65-2.66, 2 Cu 2.68